Entry from Alexandria: a relaxed ZrTcMo2 crystal (PBE).

N(E_F) = 3.88 states/eV/f.u.
total magnetization = 0.00 μB per formula unit
ΔE_f = 257 meV/atom
energy relative to the lowest polymorph listed for this composition = 146 kJ/mol of formula units

Unit cell a=5.233 b=5.233 c=2.911 alpha=90.00 beta=90.00 gamma=120.47
Atoms (fractional coordinates):
Mo1 0.000 0.000 0.000
Mo2 0.500 0.500 0.000
Tc1 0.500 0.000 0.500
Zr1 0.000 0.500 0.500

***

Entry from Alexandria: a relaxed Al4CoAu crystal (PBE).

N(E_F) = 2.13 states/eV/f.u.
total magnetization = 0.00 μB per formula unit
ΔE_f = 195 meV/atom

Unit cell a=5.077 b=5.077 c=5.077 alpha=60.00 beta=60.00 gamma=60.00
Atoms (fractional coordinates):
Al1 0.877 0.374 0.374
Al2 0.374 0.374 0.877
Al3 0.374 0.877 0.374
Al4 0.374 0.374 0.374
Co1 0.000 0.000 0.000
Au1 0.750 0.750 0.750

***

Entry from Alexandria: a relaxed PmGaSi3 crystal (PBE).

N(E_F) = 2.28 states/eV/f.u.
total magnetization = 0.00 μB per formula unit
energy relative to the elements, uncorrected = -0.203 eV per atom

Unit cell a=3.822 b=4.177 c=12.725 alpha=99.45 beta=90.00 gamma=90.00
Atoms (fractional coordinates):
Pm1 0.250 0.072 0.145
Pm2 0.750 0.928 0.855
Ga1 0.250 0.795 0.589
Ga2 0.750 0.205 0.411
Si1 0.250 0.376 0.751
Si2 0.750 0.624 0.249
Si3 0.250 0.473 0.946
Si4 0.750 0.527 0.054
Si5 0.750 0.315 0.631
Si6 0.250 0.685 0.369

***

Entry from Alexandria: a relaxed NaOsRh2O8 crystal (PBE).

N(E_F) = 7.99 states/eV/f.u.
total magnetization = 0.00 μB per formula unit
energy relative to the elements, uncorrected = -0.879 eV per atom

Unit cell a=4.675 b=4.669 c=6.287 alpha=90.00 beta=90.00 gamma=88.60
Atoms (fractional coordinates):
Na1 0.000 0.000 0.500
Os1 0.000 0.000 0.000
Rh1 0.500 0.500 0.748
Rh2 0.500 0.500 0.252
O1 0.200 0.799 0.215
O2 0.705 0.705 0.000
O3 0.800 0.201 0.215
O4 0.800 0.201 0.785
O5 0.295 0.295 0.000
O6 0.200 0.799 0.785
O7 0.676 0.677 0.500
O8 0.324 0.323 0.500

***

Entry from Alexandria: a relaxed Pm2Nd2Er crystal (PBE).

N(E_F) = 6.43 states/eV/f.u.
total magnetization = 0.00 μB per formula unit
ΔE_f = 115 meV/atom
energy relative to the lowest polymorph listed for this composition = 0 kJ/mol of formula units

Unit cell a=6.341 b=6.341 c=9.575 alpha=111.22 beta=99.97 gamma=101.07
Atoms (fractional coordinates):
Pm1 0.901 0.246 0.022
Pm2 0.223 0.378 0.478
Pm3 0.099 0.754 0.978
Pm4 0.777 0.622 0.522
Nd1 0.455 0.365 0.148
Nd2 0.217 0.807 0.352
Nd3 0.545 0.635 0.852
Nd4 0.783 0.193 0.648
Er1 0.718 0.968 0.250
Er2 0.282 0.032 0.750

***

Entry from Alexandria: a relaxed TaAl4As crystal (PBE).

N(E_F) = 2.63 states/eV/f.u.
total magnetization = 0.00 μB per formula unit
ΔE_f = 19 meV/atom

Unit cell a=5.186 b=5.186 c=5.186 alpha=60.00 beta=60.00 gamma=60.00
Atoms (fractional coordinates):
Ta1 0.000 0.000 0.000
Al1 0.878 0.374 0.374
Al2 0.374 0.374 0.878
Al3 0.374 0.878 0.374
Al4 0.374 0.374 0.374
As1 0.750 0.750 0.750

***

Look up the N(E_F) of the fourth one. 7.99 states/eV/f.u.

***

Number 5 is which compound? Pm2Nd2Er